No. 1
# Tm2Ga3Au (PBE, relaxed)
# DFT formation energy in eV per atom: -0.694
data_Tm2Ga3Au
_chemical_formula_sum 'Tm4 Ga6 Au2'
_space_group_name_H-M_alt 'C 1 m 1'
_space_group_IT_number 8
_cell_length_a 10.328
_cell_length_b 4.453
_cell_length_c 7.064
_cell_angle_alpha 90.00
_cell_angle_beta 132.13
_cell_angle_gamma 90.00
loop_
_space_group_symop_operation_xyz
'x,y,z'
'x,-y,z'
'x+1/2,y+1/2,z'
'x+1/2,-y+1/2,z'
loop_
_atom_site_label
_atom_site_type_symbol
_atom_site_fract_x
_atom_site_fract_y
_atom_site_fract_z
Tm1 Tm 0.000 0.000 0.000
Tm2 Tm 0.074 0.000 0.580
Ga1 Ga 0.202 0.500 0.408
Ga2 Ga 0.374 0.000 0.589
Ga3 Ga 0.380 0.000 0.184
Au1 Au 0.206 0.500 0.002

---

No. 2
# TmGa3Au (PBE, relaxed)
# E above lowest polymorph in meV/atom: 0
# DFT formation energy in eV per atom: -0.493
data_TmGa3Au
_chemical_formula_sum 'Tm2 Ga6 Au2'
_space_group_name_H-M_alt 'C 1 m 1'
_space_group_IT_number 8
_cell_length_a 5.827
_cell_length_b 5.831
_cell_length_c 6.394
_cell_angle_alpha 90.00
_cell_angle_beta 116.99
_cell_angle_gamma 90.00
loop_
_space_group_symop_operation_xyz
'x,y,z'
'x,-y,z'
'x+1/2,y+1/2,z'
'x+1/2,-y+1/2,z'
loop_
_atom_site_label
_atom_site_type_symbol
_atom_site_fract_x
_atom_site_fract_y
_atom_site_fract_z
Tm1 Tm 0.000 0.000 0.000
Ga1 Ga 0.009 0.250 0.519
Ga2 Ga 0.399 0.000 0.799
Au1 Au 0.116 0.500 0.233

---

No. 3
# Tm2Ga2Au3 (PBE, relaxed)
# E above lowest polymorph in meV/atom: 0
# DFT formation energy in eV per atom: -0.682
data_Tm2Ga2Au3
_chemical_formula_sum 'Tm4 Ga4 Au6'
_space_group_name_H-M_alt 'C 1 2/m 1'
_space_group_IT_number 12
_cell_length_a 10.465
_cell_length_b 4.070
_cell_length_c 7.190
_cell_angle_alpha 90.00
_cell_angle_beta 114.15
_cell_angle_gamma 90.00
loop_
_space_group_symop_operation_xyz
'x,y,z'
'-x,-y,-z'
'-x,y,-z'
'x,-y,z'
'x+1/2,y+1/2,z'
'-x+1/2,-y+1/2,-z'
'-x+1/2,y+1/2,-z'
'x+1/2,-y+1/2,z'
loop_
_atom_site_label
_atom_site_type_symbol
_atom_site_fract_x
_atom_site_fract_y
_atom_site_fract_z
Tm1 Tm 0.133 0.000 0.268
Ga1 Ga 0.156 0.000 0.704
Au1 Au 0.000 0.500 0.500
Au2 Au 0.116 0.500 0.939

---

no.,E_tot (eV for the cell shown)
1,-50.93
2,-38.59
3,-59.21